Record 1
{"formula": "Nb2SeS3", "functional": "PBE", "state": "relaxed", "spacegroup": "No. 156", "m_tot_mub_per_cell": 0.044, "relative_energy_mev_per_atom": 6, "volume_a3_per_cell": 123.17, "cell": [[3.378, 0.000, 0.000], [-1.689, 2.925, 0.000], [0.000, 0.000, 12.465]], "species": ["Nb", "Nb", "Se", "S", "S", "S"], "frac_coords": [[0.000, 0.000, 0.000], [0.000, 0.000, 0.494], [0.667, 0.333, 0.634], [0.333, 0.667, 0.125], [0.333, 0.667, 0.875], [0.667, 0.333, 0.371]]}

---

Record 2
{"formula": "NbSeS", "functional": "PBE", "state": "relaxed", "spacegroup": "No. 40", "m_tot_mub_per_cell": 1.550, "relative_energy_mev_per_atom": 0, "volume_a3_per_cell": 474.08, "cell": [[3.406, 0.000, 0.000], [0.000, 23.683, 0.000], [0.000, 0.000, 5.877]], "species": ["Nb", "Nb", "Nb", "Nb", "Se", "Se", "Se", "Se", "S", "S", "S", "S"], "frac_coords": [[0.250, 0.250, 0.000], [0.250, 0.750, 0.500], [0.750, 0.250, 0.500], [0.750, 0.750, 0.000], [0.250, 0.176, 0.334], [0.250, 0.676, 0.834], [0.750, 0.324, 0.834], [0.750, 0.824, 0.334], [0.250, 0.314, 0.334], [0.250, 0.814, 0.834], [0.750, 0.186, 0.834], [0.750, 0.686, 0.334]]}

---

Record 3
{"formula": "NbSeS", "functional": "PBE", "state": "relaxed", "spacegroup": "No. 8", "m_tot_mub_per_cell": 0.009, "relative_energy_mev_per_atom": 2, "volume_a3_per_cell": 241.58, "cell": [[5.910, 0.000, 0.000], [0.000, 3.411, 0.000], [-2.954, 0.000, 11.983]], "species": ["Nb", "Nb", "Se", "Se", "S", "S"], "frac_coords": [[0.000, 0.000, 0.000], [0.500, 0.500, 0.000], [0.094, 0.500, 0.855], [0.594, 0.000, 0.855], [0.230, 0.500, 0.126], [0.730, 0.000, 0.126]]}

---

Record 4
{"formula": "Nb2SeS3", "functional": "PBE", "state": "relaxed", "spacegroup": "No. 6", "m_tot_mub_per_cell": 0.004, "relative_energy_mev_per_atom": 0, "volume_a3_per_cell": 226.24, "cell": [[5.868, 0.000, 0.000], [0.000, 3.386, 0.000], [-2.931, 0.000, 11.387]], "species": ["Nb", "Nb", "Se", "S", "S", "S"], "frac_coords": [[0.000, 0.000, 0.000], [0.482, 0.500, 0.999], [0.748, 0.500, 0.848], [0.256, 0.000, 0.861], [0.396, 0.000, 0.138], [0.888, 0.500, 0.131]]}

---

Record 5
{"formula": "NbSeS", "functional": "PBE", "state": "relaxed", "spacegroup": "No. 39", "m_tot_mub_per_cell": 0.004, "relative_energy_mev_per_atom": 2, "volume_a3_per_cell": 482.42, "cell": [[23.925, 0.000, 0.000], [0.000, 3.412, 0.000], [0.000, 0.000, 5.910]], "species": ["Nb", "Nb", "Nb", "Nb", "Se", "Se", "Se", "Se", "S", "S", "S", "S"], "frac_coords": [[0.247, 0.250, 0.000], [0.247, 0.750, 0.500], [0.753, 0.250, 0.500], [0.753, 0.750, 0.000], [0.319, 0.250, 0.333], [0.319, 0.750, 0.833], [0.681, 0.250, 0.833], [0.681, 0.750, 0.333], [0.184, 0.250, 0.333], [0.184, 0.750, 0.833], [0.816, 0.250, 0.833], [0.816, 0.750, 0.333]]}

---

Record 6
{"formula": "Nb2Tl2Se3S", "functional": "PBE", "state": "relaxed", "dft_energy_ev_per_atom": -5.60, "spacegroup": "No. 156", "m_tot_mub_per_cell": 0.004, "volume_a3_per_cell": 188.79, "cell": [[3.454, 0.000, 0.000], [-1.727, 2.991, 0.000], [0.000, 0.000, 18.270]], "species": ["Nb", "Nb", "Tl", "Tl", "Se", "Se", "Se", "S"], "frac_coords": [[0.000, 0.000, 0.000], [0.000, 0.000, 0.492], [0.333, 0.667, 0.255], [0.667, 0.333, 0.746], [0.333, 0.667, 0.586], [0.333, 0.667, 0.906], [0.667, 0.333, 0.094], [0.667, 0.333, 0.408]]}